1.
DFT (GGA-PBE) results for an optimized crystal structure of Bi8IrRh2. Values from VASP.

The structure in Quantum ESPRESSO input format:
```
&SYSTEM
  ibrav = 0, nat = 11, ntyp = 3
/
ATOMIC_SPECIES
Bi 208.98 Bi.upf
Rh 102.91 Rh.upf
Ir 192.22 Ir.upf
CELL_PARAMETERS angstrom
-2.9547 3.5842 2.9132
-6.6193 -2.9774 -2.9712
-1.2461 -5.4407 5.5093
ATOMIC_POSITIONS crystal
Bi 0.2505 0.4396 0.4396
Bi 0.7495 0.5604 0.5604
Bi 0.2664 0.2913 0.8688
Bi 0.2664 0.8688 0.2913
Bi 0.2599 0.7986 0.7986
Bi 0.7336 0.1312 0.7087
Bi 0.7401 0.2014 0.2014
Bi 0.7336 0.7087 0.1312
Rh 0.2434 0.2170 0.2170
Rh 0.7566 0.7830 0.7830
Ir 0.0000 0.0000 0.0000
```

## Properties
* size of the total moment: 0.0 μB per formula unit
* formation enthalpy at 0 K: 1.3 eV/f.u.
* volume: 334.3 Å³/f.u.
* SG: C2/m
* crystal system: monoclinic

2.
DFT (GGA-PBE) results for an optimized crystal structure of BiIr3Rh. Values from VASP.

The structure in Quantum ESPRESSO input format:
```
&SYSTEM
  ibrav = 0, nat = 5, ntyp = 3
/
ATOMIC_SPECIES
Bi 208.98 Bi.upf
Ir 192.22 Ir.upf
Rh 102.91 Rh.upf
CELL_PARAMETERS angstrom
-1.9452 0.4084 -4.5177
-1.5021 -4.6962 0.2222
-4.2802 1.4625 1.9751
ATOMIC_POSITIONS crystal
Bi 0.0000 0.0000 0.0000
Ir 0.0000 0.5000 0.0000
Ir 0.0000 0.0000 0.5000
Ir 0.5000 0.0000 0.0000
Rh 0.5000 0.5000 0.5000
```

## Properties
* size of the total moment: 3.0 μB per formula unit
* formation enthalpy at 0 K: 12.2 eV/f.u.
* volume: 120.2 Å³/f.u.
* polymorph energy (0 for the lowest one): 859 meV/atom
* SG: Pm-3m
* crystal system: cubic

3.
DFT (GGA-PBE) results for an optimized crystal structure of Bi4IrRh. Values from VASP.

The structure in Quantum ESPRESSO input format:
```
&SYSTEM
  ibrav = 0, nat = 12, ntyp = 3
/
ATOMIC_SPECIES
Rh 102.91 Rh.upf
Ir 192.22 Ir.upf
Bi 208.98 Bi.upf
CELL_PARAMETERS angstrom
7.6072 -0.0158 0.0000
-3.0863 6.9530 0.0000
-2.2605 -3.4686 6.3819
ATOMIC_POSITIONS crystal
Rh 0.0021 0.5021 0.5000
Rh 0.2521 0.2521 0.0000
Ir 0.4978 0.9978 0.5000
Ir 0.7478 0.7478 0.0000
Bi 0.2488 0.5469 0.2981
Bi 0.7006 0.4988 0.2019
Bi 0.7512 0.0508 0.2996
Bi 0.2016 0.0012 0.2004
Bi 0.7512 0.4516 0.7004
Bi 0.2488 0.9506 0.7019
Bi 0.2969 0.4988 0.7981
Bi 0.8008 0.0012 0.7996
```

## Properties
* size of the total moment: 0.0 μB per formula unit
* formation enthalpy at 0 K: 0.4 eV/f.u.
* volume: 168.6 Å³/f.u.
* SG: I4_1md
* crystal system: tetragonal